Record 1
10
Lattice="-3.8782 0.0197 2.3903 0.8586 0.2267 5.7390 1.0989 9.7847 1.7015" Properties=species:S:1:pos:R:3 comment="Ce3IrPt GGA-PBE optimized geometry" volume_a3_per_atom=23.6 total_energy_ev_per_cell=-72.668 polymorph_energy_ev_per_atom=0.000 pbc="T T T"
Ir -2.2536 0.8381 2.3707
Pt -1.7471 7.8698 7.4794
Ce -0.3851 0.4061 5.4116
Ce -2.3641 3.3029 6.5168
Ce -1.3724 3.6212 3.7765
Ce 0.4023 5.9757 6.6423
Ce -3.2715 0.7440 5.0617
Pt -2.7901 5.9616 5.8008
Ir -0.3624 2.9625 1.0784
Ce -1.0610 7.8363 4.2474


Record 2
3
Lattice="3.9051 0.0000 0.0000 0.0000 4.3797 0.0000 0.0000 -2.1898 3.7929" Properties=species:S:1:pos:R:3 comment="CeIrPt GGA-PBE optimized geometry" volume_a3_per_atom=21.6 total_energy_ev_per_cell=-22.993 polymorph_energy_ev_per_atom=0.179 pbc="T T T"
Pt 0.6509 0.0000 0.0000
Ce 2.6033 2.1898 1.2643
Ir 0.6509 0.0000 2.5286


Record 3
10
Lattice="4.9226 0.0000 0.0000 0.0000 8.0140 0.5361 0.0000 -3.0542 7.4286" Properties=species:S:1:pos:R:3 comment="Ce7IrPt2 GGA-PBE optimized geometry" volume_a3_per_atom=30.1 total_energy_ev_per_cell=-64.510 pbc="T T T"
Ce 0.0000 -0.7700 6.0061
Ce 0.0000 5.7298 1.9585
Pt 2.4613 0.2032 5.4001
Ce 2.4613 2.4799 3.9823
Pt 2.4613 4.7566 2.5646
Ce 2.4613 -0.1654 2.2380
Ce 2.4613 2.8784 7.1259
Ir 0.0000 0.0000 0.0000
Ce 2.4613 5.1252 5.7267
Ce 2.4613 2.0814 0.8388


Record 4
20
Lattice="8.2821 -0.4598 -0.4701 -0.6394 8.2702 -0.4701 -0.6394 -0.6535 8.2577" Properties=species:S:1:pos:R:3 comment="Ce6IrPt3 GGA-PBE optimized geometry" volume_a3_per_atom=27.9 total_energy_ev_per_cell=-138.924 pbc="T T T"
Pt 4.8972 2.1528 6.7327
Ir 0.0000 0.0000 0.0000
Pt 4.9573 0.5355 2.2266
Ce 4.4514 3.0934 1.0538
Ce 7.8179 -0.2333 2.2686
Ce 2.1030 7.8654 -0.1829
Ce 4.0072 6.2036 2.7777
Pt 2.0460 6.6214 5.0908
Ce 7.4061 5.0621 -0.5420
Ce 2.9961 0.9533 4.5398
Pt 0.4278 2.1159 5.0159
Ce 4.9002 -0.7085 7.5003
Pt 6.5754 5.0410 2.3016
Ce 6.1151 2.6851 4.2014
Ce 2.5518 4.0635 6.2636
Pt 2.1061 5.0041 0.5848
Ir 3.5016 3.5784 3.6587
Ce 0.8881 4.4718 3.1160
Ce -0.8147 7.3901 5.0488
Ce -0.4028 2.0948 7.8594


Record 5
19
Lattice="-7.3547 2.6785 -2.5721 1.7153 -4.6816 -6.5591 -2.7750 -6.0501 4.8556" Properties=species:S:1:pos:R:3 comment="Ce12IrPt6 GGA-PBE optimized geometry" volume_a3_per_atom=28.7 total_energy_ev_per_cell=-128.667 pbc="T T T"
Ce -5.1510 -1.8701 -0.6865
Ce -5.7885 -5.3089 -0.2663
Ce -1.6610 -8.7783 0.1751
Pt -7.6752 -3.5252 -1.3659
Ce -3.2634 -6.1831 -3.5891
Ce -8.7686 -1.5978 0.6382
Ce -6.1329 -3.0408 -3.8604
Pt -3.8659 -3.5502 1.4021
Pt -0.7392 -4.5279 -2.9097
Pt -4.5485 -4.5030 -5.6777
Ce 0.3542 -6.4554 -4.9138
Ce -3.3322 -2.7949 -7.8060
Ce -6.7534 0.7252 -4.4507
Ce -2.6260 -2.7442 -4.0093
Ce -5.0822 -5.2583 3.5304
Pt -3.9799 -7.4797 -1.1899
Ce -2.2815 -5.0123 -0.4151
Ir 0.0000 0.0000 0.0000
Pt -4.4345 -0.5735 -3.0857


Record 6
14
Lattice="-3.1252 -0.0330 -6.8843 1.2130 -7.1248 2.2197 -4.6359 3.3871 4.9191" Properties=species:S:1:pos:R:3 comment="Ce8Ir5Pt GGA-PBE optimized geometry" volume_a3_per_atom=23.8 total_energy_ev_per_cell=-108.298 pbc="T T T"
Ir -4.4862 -2.3284 -0.6947
Ir -3.8806 1.6771 -0.9826
Pt -3.6518 -1.0303 3.0781
Ce -4.9820 -3.2799 1.8986
Ce -1.7623 -3.7016 3.2348
Ir -2.8300 -5.4283 -2.8208
Ir -0.1461 -2.2703 1.4343
Ir -5.6341 2.4856 2.5902
Ce -5.5726 0.3226 0.7955
Ce -3.3715 1.6731 3.9917
Ce -2.0252 -3.6397 -0.8068
Ce -3.7362 -0.5226 -2.7146
Ce -4.0918 -2.0107 5.7364
Ce -2.1617 -0.5038 0.6856


Record 7
13
Lattice="-5.5505 -4.1750 -0.1932 3.0234 -3.7545 -5.7278 3.9621 -0.7554 7.4788" Properties=species:S:1:pos:R:3 comment="Ce8Ir3Pt2 GGA-PBE optimized geometry" volume_a3_per_atom=28.2 total_energy_ev_per_cell=-93.760 pbc="T T T"
Ce 3.6606 -1.7764 3.0966
Ce 5.4711 -4.2960 0.8115
Ce -2.2256 -6.9085 -1.5387
Pt 0.5440 -6.0385 -0.6470
Ce -4.0361 -4.3888 0.7463
Ce 0.2239 -3.5415 4.8482
Ce 1.7124 -5.3899 2.0283
Ce -0.2775 -3.2950 -0.4704
Ir 0.9150 -1.1363 -1.7335
Ce 1.2110 -5.1434 -3.2903
Ir 2.1084 -2.6182 -3.9943
Pt 0.8910 -2.6463 2.2049
Ir -2.7753 -2.0875 -0.0966


Record 8
12
Lattice="-1.4215 1.9008 4.7945 -5.0335 -0.5728 1.7195 -0.0263 -7.2212 5.8398" Properties=species:S:1:pos:R:3 comment="Ce3Ir8Pt GGA-PBE optimized geometry" volume_a3_per_atom=18.1 total_energy_ev_per_cell=-101.497 pbc="T T T"
Ir -5.3694 -4.6376 7.7045
Ce -2.4603 -5.7606 7.5238
Pt -5.5783 -1.8334 8.0272
Ir -3.5468 0.2157 6.3343
Ir -1.2339 -2.8667 3.7554
Ir -5.3643 -1.0290 4.7870
Ir -4.4713 -5.8253 9.9380
Ce -3.2940 -2.7543 6.0848
Ir -3.5587 -3.3975 9.2461
Ce -6.3873 1.0839 6.6308
Ir -6.0820 -3.6847 10.1081
Ir -2.8315 -0.7407 3.9217


Number 1: formation enthalpy at 0 K -0.726 eV per atom. Number 2: formation enthalpy at 0 K -0.719 eV per atom. Number 3: formation enthalpy at 0 K -0.203 eV per atom. Number 4: formation enthalpy at 0 K -0.688 eV per atom. Number 5: formation enthalpy at 0 K -0.650 eV per atom. Number 6: formation enthalpy at 0 K -0.749 eV per atom. Number 7: formation enthalpy at 0 K -0.586 eV per atom. Number 8: formation enthalpy at 0 K -0.564 eV per atom.